Here is a crystal of LiPt2Rh relaxed with PBEsol from Alexandria. Energies are from meta-GGA SCAN.

abc: 2.682 4.441 4.634
angles: 90.00 90.00 90.00
Element x y z (fractional)
Li 0.000 0.000 0.000
Pt 0.500 0.000 0.497
Pt 0.500 0.500 0.872
Rh 0.000 0.500 0.368

polymorph energy (0 for the lowest one): 102 meV/atom
SG: No. 25
DFT formation energy: -1.5 eV/f.u.
energy: -44.5005 eV/atom



Here is a crystal of Li2PtRh relaxed with PBEsol from Alexandria. Energies are from meta-GGA SCAN.

abc: 4.229 4.229 4.229
angles: 60.00 60.00 60.00
Element x y z (fractional)
Li 0.000 0.000 0.000
Li 0.250 0.250 0.250
Pt 0.500 0.500 0.500
Rh 0.750 0.750 0.750

polymorph energy (0 for the lowest one): 164 meV/atom
SG: No. 216
DFT formation energy: -1.2 eV/f.u.
energy: -27.4891 eV/atom



Here is a crystal of LiPt2Rh relaxed with PBEsol from Alexandria. Energies are from meta-GGA SCAN.

abc: 2.689 3.869 5.312
angles: 90.00 90.00 90.00
Element x y z (fractional)
Li 0.000 0.000 0.000
Pt 0.500 0.500 0.248
Pt 0.500 0.500 0.752
Rh 0.000 0.000 0.500

polymorph energy (0 for the lowest one): 152 meV/atom
SG: No. 47
DFT formation energy: -1.3 eV/f.u.
energy: -44.4515 eV/atom



Here is a crystal of Li3PtRh relaxed with PBEsol from Alexandria. Energies are from meta-GGA SCAN.

abc: 4.419 4.419 4.419
angles: 90.00 90.00 90.00
Element x y z (fractional)
Li 0.000 0.000 0.500
Li 0.000 0.500 0.000
Li 0.500 0.000 0.000
Pt 0.000 0.000 0.000
Rh 0.500 0.500 0.500

SG: No. 221
DFT formation energy: 2.2 eV/f.u.
energy: -21.7805 eV/atom



Here is a crystal of LiPt2Rh relaxed with PBEsol from Alexandria. Energies are from meta-GGA SCAN.

abc: 4.667 2.679 4.704
angles: 90.00 110.17 90.00
Element x y z (fractional)
Li 0.000 0.000 0.000
Pt 0.500 0.000 0.500
Pt 0.500 0.500 0.000
Rh 0.000 0.500 0.500

polymorph energy (0 for the lowest one): 96 meV/atom
SG: No. 10
DFT formation energy: -1.5 eV/f.u.
energy: -44.5067 eV/atom



Here is a crystal of Li2PtRh relaxed with PBEsol from Alexandria. Energies are from meta-GGA SCAN.

abc: 2.716 4.292 4.541
angles: 90.00 90.00 90.00
Element x y z (fractional)
Li 0.000 0.000 0.000
Li 0.500 0.000 0.500
Pt 0.000 0.500 0.500
Rh 0.500 0.500 0.000

polymorph energy (0 for the lowest one): 2 meV/atom
SG: No. 47
DFT formation energy: -1.9 eV/f.u.
energy: -27.6509 eV/atom



Here is a crystal of Li2PtRh relaxed with PBEsol from Alexandria. Energies are from meta-GGA SCAN.

abc: 2.633 4.280 4.696
angles: 90.00 92.06 90.00
Element x y z (fractional)
Li 0.250 0.000 0.247
Li 0.750 0.000 0.753
Pt 0.000 0.500 0.500
Rh 0.500 0.500 0.000

polymorph energy (0 for the lowest one): 0 meV/atom
SG: No. 10
DFT formation energy: -1.9 eV/f.u.
energy: -27.6530 eV/atom



Here is a crystal of LiPt2Rh relaxed with PBEsol from Alexandria. Energies are from meta-GGA SCAN.

abc: 4.675 4.675 4.669
angles: 98.15 98.15 33.37
Element x y z (fractional)
Li 0.000 0.000 0.000
Pt 0.248 0.248 0.749
Pt 0.752 0.752 0.251
Rh 0.500 0.500 0.500

polymorph energy (0 for the lowest one): 168 meV/atom
SG: No. 12
DFT formation energy: -1.2 eV/f.u.
energy: -44.4354 eV/atom



Here is a crystal of LiRuPt2 relaxed with PBEsol from Alexandria. Energies are from meta-GGA SCAN.

abc: 4.665 4.665 2.661
angles: 90.00 90.00 109.31
Element x y z (fractional)
Li 0.000 0.000 0.000
Ru 0.500 0.500 0.000
Pt 0.000 0.500 0.500
Pt 0.500 0.000 0.500

polymorph energy (0 for the lowest one): 0 meV/atom
SG: No. 65
DFT formation energy: -1.5 eV/f.u.
energy: -44.7752 eV/atom



Here is a crystal of LiRuPt2 relaxed with PBEsol from Alexandria. Energies are from meta-GGA SCAN.

abc: 3.819 3.819 3.738
angles: 90.00 90.00 90.00
Element x y z (fractional)
Li 0.000 0.000 0.000
Ru 0.500 0.500 0.000
Pt 0.000 0.500 0.500
Pt 0.500 0.000 0.500

polymorph energy (0 for the lowest one): 178 meV/atom
SG: No. 123
DFT formation energy: -0.8 eV/f.u.
energy: -44.5972 eV/atom



Here is a crystal of LiRuPt2 relaxed with PBEsol from Alexandria. Energies are from meta-GGA SCAN.

abc: 2.704 2.704 7.598
angles: 90.00 90.00 90.00
Element x y z (fractional)
Li 0.000 0.000 0.000
Ru 0.500 0.500 0.742
Pt 0.000 0.000 0.502
Pt 0.500 0.500 0.232

polymorph energy (0 for the lowest one): 334 meV/atom
SG: No. 99
DFT formation energy: -0.2 eV/f.u.
energy: -44.4410 eV/atom



Here is a crystal of LiRuPt3 relaxed with PBEsol from Alexandria. Energies are from meta-GGA SCAN.

abc: 4.124 4.124 4.124
angles: 90.00 90.00 90.00
Element x y z (fractional)
Li 0.000 0.000 0.000
Ru 0.500 0.500 0.500
Pt 0.000 0.000 0.500
Pt 0.000 0.500 0.000
Pt 0.500 0.000 0.000

SG: No. 221
DFT formation energy: 3.4 eV/f.u.
energy: -48.8843 eV/atom



Here is a crystal of Li2RuPt relaxed with PBEsol from Alexandria. Energies are from meta-GGA SCAN.

abc: 5.063 5.063 5.063
angles: 149.19 129.54 60.30
Element x y z (fractional)
Li 0.000 0.000 0.000
Li 0.759 0.259 0.500
Ru 0.500 0.500 0.000
Pt 0.250 0.750 0.500

polymorph energy (0 for the lowest one): 155 meV/atom
SG: No. 44
DFT formation energy: -0.4 eV/f.u.
energy: -27.5378 eV/atom



Here is a crystal of LiRu2Pt relaxed with PBEsol from Alexandria. Energies are from meta-GGA SCAN.

abc: 4.496 4.496 2.690
angles: 90.00 90.00 90.00
Element x y z (fractional)
Li 0.000 0.000 0.000
Ru 0.000 0.500 0.500
Ru 0.500 0.000 0.500
Pt 0.500 0.500 0.000

SG: No. 123
DFT formation energy: 1.2 eV/f.u.
energy: -35.2642 eV/atom



Here is a crystal of LiRuPt2 relaxed with PBEsol from Alexandria. Energies are from meta-GGA SCAN.

abc: 3.202 3.202 5.398
angles: 90.00 90.00 90.00
Element x y z (fractional)
Li 0.000 0.000 0.000
Ru 0.500 0.500 0.738
Pt 0.000 0.000 0.502
Pt 0.500 0.500 0.223

polymorph energy (0 for the lowest one): 396 meV/atom
SG: No. 99
DFT formation energy: 0.1 eV/f.u.
energy: -44.3797 eV/atom



Here is a crystal of Li3RuPt relaxed with PBEsol from Alexandria. Energies are from meta-GGA SCAN.

abc: 4.435 4.435 4.435
angles: 90.00 90.00 90.00
Element x y z (fractional)
Li 0.000 0.000 0.500
Li 0.000 0.500 0.000
Li 0.500 0.000 0.000
Ru 0.500 0.500 0.500
Pt 0.000 0.000 0.000

SG: No. 221
DFT formation energy: 3.4 eV/f.u.
energy: -21.7596 eV/atom



Here is a crystal of LiRuPt2 relaxed with PBEsol from Alexandria. Energies are from meta-GGA SCAN.

abc: 4.639 4.639 4.639
angles: 131.83 131.83 70.50
Element x y z (fractional)
Li 0.000 0.000 0.000
Ru 0.250 0.750 0.500
Pt 0.500 0.500 0.000
Pt 0.750 0.250 0.500

polymorph energy (0 for the lowest one): 168 meV/atom
SG: No. 119
DFT formation energy: -0.8 eV/f.u.
energy: -44.6076 eV/atom



Here is a crystal of Li2RuPt relaxed with PBEsol from Alexandria. Energies are from meta-GGA SCAN.

abc: 5.333 5.333 5.333
angles: 102.14 102.14 125.40
Element x y z (fractional)
Li 0.121 0.125 0.496
Li 0.375 0.879 0.004
Li 0.629 0.625 0.504
Li 0.875 0.371 0.996
Ru 0.250 0.750 0.500
Ru 0.500 0.500 0.000
Pt 0.000 0.000 0.000
Pt 0.750 0.250 0.500

polymorph energy (0 for the lowest one): 568 meV/atom
SG: No. 122
DFT formation energy: 1.3 eV/f.u.
energy: -27.1244 eV/atom



Here is a crystal of Li2RuPt relaxed with PBEsol from Alexandria. Energies are from meta-GGA SCAN.

abc: 2.617 2.617 8.790
angles: 90.00 90.00 117.18
Element x y z (fractional)
Li 0.000 0.000 0.248
Li 0.000 0.000 0.752
Ru 0.500 0.500 0.500
Pt 0.500 0.500 0.000

polymorph energy (0 for the lowest one): 0 meV/atom
SG: No. 65
DFT formation energy: -1.0 eV/f.u.
energy: -27.6928 eV/atom



Here is a crystal of Li2RuPt relaxed with PBEsol from Alexandria. Energies are from meta-GGA SCAN.

abc: 4.079 4.079 4.079
angles: 60.00 60.00 60.00
Element x y z (fractional)
Li 0.250 0.250 0.250
Li 0.750 0.750 0.750
Ru 0.000 0.000 0.000
Pt 0.500 0.500 0.500

polymorph energy (0 for the lowest one): 291 meV/atom
SG: No. 225
DFT formation energy: 0.2 eV/f.u.
energy: -27.4014 eV/atom